Entry 1:
YSiAg: optimized geometry, GGA-PBEsol.

Calculated values
* energy: -5.887 eV per atom
* raw formation energy: -0.59 eV per atom

```
data_YSiAg
_chemical_formula_sum 'Y1 Si1 Ag1'
_cell_length_a 4.3749
_cell_length_b 4.3749
_cell_length_c 3.5232
_cell_angle_alpha 90.00
_cell_angle_beta 90.00
_cell_angle_gamma 120.00
_symmetry_space_group_name_H-M 'P -6 m 2'
_symmetry_Int_Tables_number 187
_symmetry_space_group_name_Hall 'P -6 2'
loop_
_atom_site_label
_atom_site_type_symbol
_atom_site_fract_x
_atom_site_fract_y
_atom_site_fract_z
Y1 Y 0.0000 0.0000 0.0000
Si1 Si 0.6667 0.3333 0.5000
Ag1 Ag 0.3333 0.6667 0.5000
```

Entry 2:
YSiAg: optimized geometry, GGA-PBEsol.

Calculated values
* energy: -5.512 eV per atom
* raw formation energy: -0.22 eV per atom

```
data_YSiAg
_chemical_formula_sum 'Y2 Si2 Ag2'
_cell_length_a 3.282
_cell_length_b 3.282
_cell_length_c 10.771
_cell_angle_alpha 90.00
_cell_angle_beta 90.00
_cell_angle_gamma 90.00
_symmetry_space_group_name_H-M 'I 4 m m'
_symmetry_Int_Tables_number 107
_symmetry_space_group_name_Hall 'I 4 -2'
loop_
_atom_site_label
_atom_site_type_symbol
_atom_site_fract_x
_atom_site_fract_y
_atom_site_fract_z
Y1 Y 0.000 0.000 0.000
Si1 Si 0.000 0.000 0.321
Ag1 Ag 0.000 0.000 0.693
```

Entry 3:
Zn3SiAg: optimized geometry, GGA-PBEsol.

Calculated values
* energy: -1.996 eV per atom
* raw formation energy: 0.76 eV per atom

```
data_Zn3SiAg
_chemical_formula_sum 'Zn3 Si1 Ag1'
_cell_length_a 4.717
_cell_length_b 4.717
_cell_length_c 4.717
_cell_angle_alpha 90.00
_cell_angle_beta 90.00
_cell_angle_gamma 90.00
_symmetry_space_group_name_H-M 'P m -3 m'
_symmetry_Int_Tables_number 221
_symmetry_space_group_name_Hall '-P 4 2 3'
loop_
_atom_site_label
_atom_site_type_symbol
_atom_site_fract_x
_atom_site_fract_y
_atom_site_fract_z
Zn1 Zn 0.000 0.000 0.500
Si1 Si 0.500 0.500 0.500
Ag1 Ag 0.000 0.000 0.000
```

Entry 4:
ZrSiAg4: optimized geometry, GGA-PBEsol.

Calculated values
* energy: -4.443 eV per atom
* raw formation energy: 0.24 eV per atom

```
data_ZrSiAg4
_chemical_formula_sum 'Zr4 Si4 Ag16'
_cell_length_a 7.544
_cell_length_b 7.544
_cell_length_c 7.544
_cell_angle_alpha 90.00
_cell_angle_beta 90.00
_cell_angle_gamma 90.00
_symmetry_space_group_name_H-M 'F -4 3 m'
_symmetry_Int_Tables_number 216
_symmetry_space_group_name_Hall 'F -4 2 3'
loop_
_atom_site_label
_atom_site_type_symbol
_atom_site_fract_x
_atom_site_fract_y
_atom_site_fract_z
Zr1 Zr 0.000 0.000 0.000
Si1 Si 0.250 0.250 0.750
Ag1 Ag 0.125 0.125 0.375
```

Entry 5:
Zr2SiAg: optimized geometry, GGA-PBEsol.

Calculated values
* energy: -7.133 eV per atom
* raw formation energy: -0.32 eV per atom

```
data_Zr2SiAg
_chemical_formula_sum 'Zr4 Si2 Ag2'
_cell_length_a 3.117
_cell_length_b 4.796
_cell_length_c 9.737
_cell_angle_alpha 90.00
_cell_angle_beta 90.00
_cell_angle_gamma 90.00
_symmetry_space_group_name_H-M 'I m m 2'
_symmetry_Int_Tables_number 44
_symmetry_space_group_name_Hall 'I 2 -2'
loop_
_atom_site_label
_atom_site_type_symbol
_atom_site_fract_x
_atom_site_fract_y
_atom_site_fract_z
Zr1 Zr 0.000 0.000 0.000
Zr2 Zr 0.000 0.500 0.227
Si1 Si 0.000 0.000 0.478
Ag1 Ag 0.000 0.500 0.771
```

Entry 6:
Zr2SiAg: optimized geometry, GGA-PBEsol.

Calculated values
* energy: -7.017 eV per atom
* raw formation energy: -0.21 eV per atom

```
data_Zr2SiAg
_chemical_formula_sum 'Zr2 Si1 Ag1'
_cell_length_a 3.655
_cell_length_b 3.655
_cell_length_c 5.721
_cell_angle_alpha 90.00
_cell_angle_beta 90.00
_cell_angle_gamma 90.00
_symmetry_space_group_name_H-M 'P 4 m m'
_symmetry_Int_Tables_number 99
_symmetry_space_group_name_Hall 'P 4 -2'
loop_
_atom_site_label
_atom_site_type_symbol
_atom_site_fract_x
_atom_site_fract_y
_atom_site_fract_z
Zr1 Zr 0.000 0.000 0.000
Zr2 Zr 0.500 0.500 0.302
Si1 Si 0.500 0.500 0.814
Ag1 Ag 0.000 0.000 0.527
```

Entry 7:
SmAg3: optimized geometry, GGA-PBEsol.

Calculated values
* polymorph energy (0 for the lowest one): 2 meV per atom
* energy: -3.946 eV per atom
* formation enthalpy at 0 K: -0.190 eV per atom

```
data_SmAg3
_chemical_formula_sum 'Sm4 Ag12'
_cell_length_a 6.865
_cell_length_b 6.865
_cell_length_c 6.865
_cell_angle_alpha 90.00
_cell_angle_beta 90.00
_cell_angle_gamma 90.00
_symmetry_space_group_name_H-M 'F m -3 m'
_symmetry_Int_Tables_number 225
_symmetry_space_group_name_Hall '-F 4 2 3'
loop_
_atom_site_label
_atom_site_type_symbol
_atom_site_fract_x
_atom_site_fract_y
_atom_site_fract_z
Sm1 Sm 0.000 0.000 0.000
Ag1 Ag 0.000 0.000 0.500
Ag2 Ag 0.250 0.250 0.250
```

Entry 8:
SmAg: optimized geometry, GGA-PBEsol.

Calculated values
* energy: -4.478 eV per atom
* formation enthalpy at 0 K: -0.276 eV per atom

```
data_SmAg
_chemical_formula_sum 'Sm1 Ag1'
_cell_length_a 3.641
_cell_length_b 3.641
_cell_length_c 3.641
_cell_angle_alpha 90.00
_cell_angle_beta 90.00
_cell_angle_gamma 90.00
_symmetry_space_group_name_H-M 'P m -3 m'
_symmetry_Int_Tables_number 221
_symmetry_space_group_name_Hall '-P 4 2 3'
loop_
_atom_site_label
_atom_site_type_symbol
_atom_site_fract_x
_atom_site_fract_y
_atom_site_fract_z
Sm1 Sm 0.000 0.000 0.000
Ag1 Ag 0.500 0.500 0.500
```

Calculated D(E_F) (states/eV/f.u.), listed in the same order as above: 1.42 1.25 1.46 5.43 2.76 2.46 2.16 1.35
Calculated magnetization (μB/f.u.), listed in the same order as above: 0.0 0.0 0.0 0.0 0.0 0.0 0.0 0.0